## a
## AcDy2Sn (PBE-GGA)

Data for a relaxed structure of AcDy2Sn.

Lattice parameters (Å, degrees): 3.6765 3.6765 35.3886 90.00 90.00 120.00
With the nearest neighbours (Å) after each atom.
Space group R-3m (No. 166, hexagonal axes)
Asymmetric unit:
1 Ac 0.0000 0.0000 0.0000 x3  2 Dy 3.57, 6 Ac 3.68
2 Dy 0.0000 0.0000 0.1009 x6  3 Sn 3.15
3 Sn 0.0000 0.0000 0.5000 x3  6 Dy 3.15

## b
## AcDy2Sn (PBE-GGA)

Data for a relaxed structure of AcDy2Sn.

Lattice parameters (Å, degrees): 7.8455 7.8455 7.8455 90.00 90.00 90.00
With the nearest neighbours (Å) after each atom.
Space group Fm-3m (No. 225)
Asymmetric unit:
1 Ac 0.0000 0.0000 0.0000 x4  8 Dy 3.40
2 Dy 0.2500 0.2500 0.2500 x8  4 Ac 3.40, 4 Sn 3.40
3 Sn 0.0000 0.0000 0.5000 x4  8 Dy 3.40

Least stable of them? a.

## a
## AcDy2Sn (PBE-GGA)

Data for a relaxed structure of AcDy2Sn.

Lattice parameters (Å, degrees): 3.7763 3.7763 32.4191 90.00 90.00 120.00
With the nearest neighbours (Å) after each atom.
Space group R3m (No. 160, hexagonal axes)
Asymmetric unit:
1 Ac 0.0000 0.0000 0.0000 x3  6 Ac 3.78, 6 Dy 3.78
2 Dy 0.0000 0.0000 0.5715 x3  3 Sn 3.19
3 Dy 0.0000 0.0000 0.7618 x3  3 Sn 3.18
4 Sn 0.0000 0.0000 0.1665 x3  6 Dy 3.18-3.19

## b
## AcDy2Sn (PBE-GGA)

Data for a relaxed structure of AcDy2Sn.

Lattice parameters (Å, degrees): 3.8755 3.8755 8.5492 90.00 90.00 90.00
With the nearest neighbours (Å) after each atom.
Space group P4/mmm (No. 123)
Asymmetric unit:
1 Ac 0.0000 0.0000 0.0000 x1  8 Dy 3.73, 4 Ac 3.88
2 Dy 0.5000 0.5000 0.2960 x2  4 Sn 3.25, 1 Dy 3.49
3 Sn 0.0000 0.0000 0.5000 x1  8 Dy 3.25

Least stable of them? a.

## a
## Ac2DySn2 (PBE-GGA)

Data for a relaxed structure of Ac2DySn2.

Lattice parameters (Å, degrees): 5.2913 19.2581 6.9575 90.00 90.00 90.00
With the nearest neighbours (Å) after each atom.
Space group Cmc2_1 (No. 36)
Asymmetric unit:
1 Ac 0.0000 0.0003 0.0000 x4  6 Sn 3.47-3.87, 2 Ac 3.48, 4 Dy 3.71
2 Ac 0.0000 0.1970 0.2508 x4  6 Sn 3.50-3.57, 1 Dy 3.90
3 Dy 0.0000 0.3993 0.2493 x4  3 Sn 3.04-3.37
4 Sn 0.0000 0.1789 0.7507 x4  2 Dy 3.04
5 Sn 0.0000 0.4257 0.7505 x4  3 Dy 3.37-3.52, 6 Ac 3.47-3.55

## b
## Ac2DySn2 (PBE-GGA)

Data for a relaxed structure of Ac2DySn2.

Lattice parameters (Å, degrees): 4.8371 7.0063 10.2745 90.00 90.00 90.00
With the nearest neighbours (Å) after each atom.
Space group Immm (No. 71)
Asymmetric unit:
1 Ac 0.0000 0.0000 0.2028 x4  6 Sn 3.54-3.63, 2 Dy 3.90
2 Dy 0.0000 0.5000 0.0000 x2  4 Sn 3.12
3 Sn 0.0000 0.2804 0.5000 x4  1 Sn 3.08, 2 Dy 3.12

Least stable of them? a.

## a
## SrAcDy (PBE-GGA)

Data for a relaxed structure of SrAcDy.

Lattice parameters (Å, degrees): 3.8879 3.8879 19.5174 90.00 90.00 120.00
With the nearest neighbours (Å) after each atom.
Space group P-3m1 (No. 164)
Asymmetric unit:
1 Sr 0.0000 0.0000 0.0999 x2  3 Dy 3.88, 7 Sr 3.89-3.90
2 Ac 0.3333 0.6667 0.5873 x2  3 Dy 3.70, 9 Ac 3.89-4.08
3 Dy 0.3333 0.6667 0.2622 x2  3 Ac 3.70, 3 Sr 3.88, 6 Dy 3.89

## b
## SrAcDy (PBE-GGA)

Data for a relaxed structure of SrAcDy.

Lattice parameters (Å, degrees): 3.9215 3.9215 16.4902 90.00 90.00 90.00
With the nearest neighbours (Å) after each atom.
Space group I4mm (No. 107)
Asymmetric unit:
1 Sr 0.0000 0.0000 0.0000 x2  4 Sr 3.92, 4 Dy 3.93, 4 Ac 4.15
2 Ac 0.0000 0.0000 0.6870 x2  4 Dy 3.66, 4 Ac 3.92
3 Dy 0.0000 0.0000 0.3315 x2  4 Ac 3.66, 4 Dy 3.92, 4 Sr 3.93

## c
## SrAcDy (PBE-GGA)

Data for a relaxed structure of SrAcDy.

Lattice parameters (Å, degrees): 3.8995 3.8995 9.5820 90.00 90.00 120.00
With the nearest neighbours (Å) after each atom.
Space group P3m1 (No. 156)
Asymmetric unit:
1 Sr 0.0000 0.0000 0.0000 x1  3 Dy 3.90, 6 Sr 3.90, 3 Ac 4.18
2 Ac 0.3333 0.6667 0.6322 x1  3 Dy 3.65, 6 Ac 3.90
3 Dy 0.6667 0.3333 0.3318 x1  3 Ac 3.65, 3 Sr 3.90, 6 Dy 3.90

Least stable of them? a.

## a
## AcTb3Dy (PBE-GGA)

Data for a relaxed structure of AcTb3Dy.

Lattice parameters (Å, degrees): 20.3147 10.1587 6.7088 90.00 94.23 90.00
With the nearest neighbours (Å) after each atom.
Space group C2/c (No. 15)
Asymmetric unit:
1 Ac 0.0000 0.1069 0.2500 x4  5 Ac 3.65-4.00, 8 Tb 3.70-3.92
2 Ac 0.0000 0.2525 0.7500 x4  8 Tb 3.53-3.92, 3 Ac 3.65-3.67
3 Tb 0.0755 0.4463 0.3943 x8  2 Dy 3.29-3.61, 5 Tb 3.44-3.64, 2 Ac 3.53
4 Tb 0.1480 0.0962 0.6066 x8  3 Dy 3.41-3.62, 2 Ac 3.59-3.70, 2 Tb 3.61-3.62
5 Tb 0.1658 0.2568 0.0894 x8  3 Dy 3.34-3.54, 5 Tb 3.44-3.72
6 Dy 0.2169 0.4234 0.6646 x8  8 Tb 3.29-3.62

## b
## AcTb3Dy (PBE-GGA)

Data for a relaxed structure of AcTb3Dy.

Lattice parameters (Å, degrees): 4.9173 8.6034 9.4971 68.64 75.03 90.00
With the nearest neighbours (Å) after each atom.
Space group P-1 (No. 2)
Asymmetric unit:
1 Ac 0.1155 0.1488 0.2698 x2  7 Tb 3.61-3.85, 3 Dy 3.74-3.89, 1 Ac 4.03
2 Tb 0.0567 0.6982 0.3866 x2  6 Tb 3.26-3.45, 2 Dy 3.41, 1 Ac 3.61
3 Tb 0.2271 0.6281 0.0458 x2  6 Tb 3.40-3.74, 2 Dy 3.58, 2 Ac 3.73
4 Tb 0.4151 0.5546 0.6697 x2  8 Tb 3.45-3.74, 1 Dy 3.57, 2 Ac 3.73
5 Dy 0.3113 0.1105 0.8775 x2  2 Dy 3.39, 5 Tb 3.41-3.58, 1 Ac 3.74

Least stable of them? b.

## a
## AcTb3Dy7 (PBE-GGA)

Data for a relaxed structure of AcTb3Dy7.

Lattice parameters (Å, degrees): 7.1072 7.1072 8.6859 90.00 90.00 120.00
With the nearest neighbours (Å) after each atom.
Space group P3m1 (No. 156)
Asymmetric unit:
1 Ac 0.0000 0.0000 0.0000 x1  9 Dy 3.54-3.55, 3 Tb 3.61
2 Tb 0.1684 0.3368 0.6591 x3  5 Dy 3.51-3.58, 4 Tb 3.52-3.59, 1 Ac 3.61
3 Dy 0.0025 0.5012 0.9987 x3  7 Dy 3.51-3.58, 2 Ac 3.55, 2 Tb 3.58
4 Dy 0.3334 0.1667 0.3327 x3  2 Tb 3.51, 1 Ac 3.54, 8 Dy 3.55-3.56
5 Dy 0.3333 0.6667 0.3278 x1  9 Dy 3.51-3.55, 3 Tb 3.52

## b
## AcTb3Dy7 (PBE-GGA)

Data for a relaxed structure of AcTb3Dy7.

Lattice parameters (Å, degrees): 7.0175 5.5982 9.8726 90.00 108.59 90.00
With the nearest neighbours (Å) after each atom.
Space group P2/m (No. 10)
Asymmetric unit:
1 Ac 0.0000 0.0000 0.0000 x1  2 Tb 3.51, 10 Dy 3.63-3.83
2 Tb 0.2763 0.5000 0.4937 x2  1 Tb 3.10, 4 Dy 3.31-3.42
3 Tb 0.5000 0.0000 0.0000 x1  6 Dy 3.46-3.51, 2 Ac 3.51
4 Dy 0.0000 0.0000 0.5000 x1  4 Tb 3.42, 2 Dy 3.79
5 Dy 0.1468 0.5000 0.7884 x2  2 Tb 3.31-3.36, 3 Dy 3.34-3.63
6 Dy 0.3320 0.5000 0.1443 x2  5 Dy 3.31-3.63, 3 Tb 3.51-3.59, 2 Ac 3.63
7 Dy 0.4335 0.0000 0.3328 x2  3 Dy 3.13-3.31, 1 Tb 3.46

Least stable of them? a.